Model w:
# PBE-GGA CsRb2SbBr6, optimized geometry
# DOS(E_F) (states/eV/cell): 0.0
# Calculated volume (Å³ per cell): 866
data_CsRb2SbBr6
_space_group_name_H-M_alt 'P 1 21/c 1'
_space_group_IT_number 14
_space_group_name_Hall '-P 2ybc'
_cell_length_a 8.270
_cell_length_b 8.826
_cell_length_c 14.462
_cell_angle_alpha 90.00
_cell_angle_beta 124.86
_cell_angle_gamma 90.00
loop_
_atom_site_label
_atom_site_type_symbol
_atom_site_fract_x
_atom_site_fract_y
_atom_site_fract_z
Cs1 Cs 0.000 0.000 0.000
Rb1 Rb 0.280 0.080 0.748
Sb1 Sb 0.500 0.000 0.500
Br1 Br 0.147 0.060 0.285
Br2 Br 0.288 0.671 0.063
Br3 Br 0.427 0.232 0.081

***

Model x:
# PBE-GGA CsRb2SbBr6, optimized geometry
# DOS(E_F) (states/eV/cell): 0.0
# Calculated volume (Å³ per cell): 1905
data_CsRb2SbBr6
_space_group_name_H-M_alt 'F m -3 m'
_space_group_IT_number 225
_space_group_name_Hall '-F 4 2 3'
_cell_length_a 12.396
_cell_length_b 12.396
_cell_length_c 12.396
_cell_angle_alpha 90.00
_cell_angle_beta 90.00
_cell_angle_gamma 90.00
loop_
_atom_site_label
_atom_site_type_symbol
_atom_site_fract_x
_atom_site_fract_y
_atom_site_fract_z
Cs1 Cs 0.000 0.000 0.000
Rb1 Rb 0.250 0.250 0.250
Sb1 Sb 0.000 0.000 0.500
Br1 Br 0.000 0.000 0.273

***

Each structure's energy above the most stable one, in meV/atom: model w 0; model x 80.

***

Model w:
# PBE-GGA Cs2RbVBr6, optimized geometry
# DOS(E_F) (states/eV/cell): 130.0
# Calculated volume (Å³ per cell): 1588
data_Cs2RbVBr6
_space_group_name_H-M_alt 'F m -3 m'
_space_group_IT_number 225
_space_group_name_Hall '-F 4 2 3'
_cell_length_a 11.666
_cell_length_b 11.666
_cell_length_c 11.666
_cell_angle_alpha 90.00
_cell_angle_beta 90.00
_cell_angle_gamma 90.00
loop_
_atom_site_label
_atom_site_type_symbol
_atom_site_fract_x
_atom_site_fract_y
_atom_site_fract_z
Cs1 Cs 0.250 0.250 0.250
Rb1 Rb 0.000 0.000 0.000
V1 V 0.000 0.000 0.500
Br1 Br 0.000 0.000 0.281

***

Model x:
# PBE-GGA Cs2RbVBr6, optimized geometry
# DOS(E_F) (states/eV/cell): 21.8
# Calculated volume (Å³ per cell): 813
data_Cs2RbVBr6
_space_group_name_H-M_alt 'P m m n'
_space_group_IT_number 59
_cell_length_a 7.917
_cell_length_b 11.673
_cell_length_c 8.797
_cell_angle_alpha 90.00
_cell_angle_beta 90.00
_cell_angle_gamma 90.00
loop_
_space_group_symop_operation_xyz
'x,y,z'
'-x,-y,-z'
'-x+1/2,-y+1/2,z'
'x+1/2,y+1/2,-z'
'x+1/2,-y,-z'
'-x+1/2,y,z'
'-x,y+1/2,-z'
'x,-y+1/2,z'
loop_
_atom_site_label
_atom_site_type_symbol
_atom_site_fract_x
_atom_site_fract_y
_atom_site_fract_z
Cs1 Cs 0.250 0.024 0.204
Rb1 Rb 0.250 0.250 0.707
V1 V 0.250 0.750 0.787
Br1 Br 0.019 0.750 0.584
Br2 Br 0.024 0.750 0.998
Br3 Br 0.250 0.530 0.787

***

Each structure's energy above the most stable one, in meV/atom: model w 6; model x 0.

***

Model w:
# PBE-GGA CsRb2YBr6, optimized geometry
# DOS(E_F) (states/eV/cell): 0.0
# Calculated volume (Å³ per cell): 859
data_CsRb2YBr6
_space_group_name_H-M_alt 'P 1 21/c 1'
_space_group_IT_number 14
_space_group_name_Hall '-P 2ybc'
_cell_length_a 8.257
_cell_length_b 8.835
_cell_length_c 14.232
_cell_angle_alpha 90.00
_cell_angle_beta 124.18
_cell_angle_gamma 90.00
loop_
_atom_site_label
_atom_site_type_symbol
_atom_site_fract_x
_atom_site_fract_y
_atom_site_fract_z
Cs1 Cs 0.000 0.000 0.000
Rb1 Rb 0.211 0.077 0.742
Y1 Y 0.500 0.000 0.500
Br1 Br 0.168 0.170 0.442
Br2 Br 0.264 0.736 0.415
Br3 Br 0.423 0.065 0.284

***

Model x:
# PBE-GGA CsRb2YBr6, optimized geometry
# DOS(E_F) (states/eV/cell): 0.0
# Calculated volume (Å³ per cell): 1901
data_CsRb2YBr6
_space_group_name_H-M_alt 'F m -3 m'
_space_group_IT_number 225
_space_group_name_Hall '-F 4 2 3'
_cell_length_a 12.387
_cell_length_b 12.387
_cell_length_c 12.387
_cell_angle_alpha 90.00
_cell_angle_beta 90.00
_cell_angle_gamma 90.00
loop_
_atom_site_label
_atom_site_type_symbol
_atom_site_fract_x
_atom_site_fract_y
_atom_site_fract_z
Cs1 Cs 0.000 0.000 0.000
Rb1 Rb 0.250 0.250 0.250
Y1 Y 0.000 0.000 0.500
Br1 Br 0.000 0.000 0.274

***

Each structure's energy above the most stable one, in meV/atom: model w 0; model x 80.

***

Model w:
# PBE-GGA CsReBr2, optimized geometry
# DOS(E_F) (states/eV/cell): 6.4
# Calculated volume (Å³ per cell): 594
data_CsReBr2
_space_group_name_H-M_alt 'I -4 2 d'
_space_group_IT_number 122
_space_group_name_Hall 'I -4 2bw'
_cell_length_a 6.687
_cell_length_b 6.687
_cell_length_c 13.291
_cell_angle_alpha 90.00
_cell_angle_beta 90.00
_cell_angle_gamma 90.00
loop_
_atom_site_label
_atom_site_type_symbol
_atom_site_fract_x
_atom_site_fract_y
_atom_site_fract_z
Cs1 Cs 0.000 0.000 0.000
Re1 Re 0.000 0.000 0.500
Br1 Br 0.111 0.250 0.625

***

Model x:
# PBE-GGA CsReBr2, optimized geometry
# DOS(E_F) (states/eV/cell): 0.0
# Calculated volume (Å³ per cell): 560
data_CsReBr2
_space_group_name_H-M_alt 'F m -3 m'
_space_group_IT_number 225
_space_group_name_Hall '-F 4 2 3'
_cell_length_a 8.242
_cell_length_b 8.242
_cell_length_c 8.242
_cell_angle_alpha 90.00
_cell_angle_beta 90.00
_cell_angle_gamma 90.00
loop_
_atom_site_label
_atom_site_type_symbol
_atom_site_fract_x
_atom_site_fract_y
_atom_site_fract_z
Cs1 Cs 0.000 0.000 0.000
Re1 Re 0.000 0.000 0.500
Br1 Br 0.250 0.250 0.250

***

Model y:
# PBE-GGA CsReBr2, optimized geometry
# DOS(E_F) (states/eV/cell): 10.4
# Calculated volume (Å³ per cell): 321
data_CsReBr2
_space_group_name_H-M_alt 'R -3 m'
_space_group_IT_number 166
_space_group_name_Hall '-R 3 2"'
_cell_length_a 3.4478
_cell_length_b 3.4478
_cell_length_c 31.1830
_cell_angle_alpha 90.00
_cell_angle_beta 90.00
_cell_angle_gamma 120.00
loop_
_atom_site_label
_atom_site_type_symbol
_atom_site_fract_x
_atom_site_fract_y
_atom_site_fract_z
Cs1 Cs 0.0000 0.0000 0.0000
Re1 Re 0.0000 0.0000 0.5000
Br1 Br 0.0000 0.0000 0.4224

***

Each structure's energy above the most stable one, in meV/atom: model w 0; model x 215; model y 158.

***

Model w:
# PBE-GGA CsReBr4, optimized geometry
# DOS(E_F) (states/eV/cell): 6.5
# Calculated volume (Å³ per cell): 927
data_CsReBr4
_space_group_name_H-M_alt 'C 1 2/m 1'
_space_group_IT_number 12
_space_group_name_Hall '-C 2y'
_cell_length_a 24.393
_cell_length_b 7.346
_cell_length_c 5.255
_cell_angle_alpha 90.00
_cell_angle_beta 100.30
_cell_angle_gamma 90.00
loop_
_atom_site_label
_atom_site_type_symbol
_atom_site_fract_x
_atom_site_fract_y
_atom_site_fract_z
Cs1 Cs 0.199 0.000 0.186
Re1 Re 0.034 0.500 0.676
Br1 Br 0.000 0.279 0.000
Br2 Br 0.097 0.260 0.593
Br3 Br 0.205 0.500 0.234

***

Model x:
# PBE-GGA CsReBr4, optimized geometry
# Calculated volume (Å³ per cell): 1840
data_CsReBr4
_space_group_name_H-M_alt 'P b c a'
_space_group_IT_number 61
_space_group_name_Hall '-P 2ac 2ab'
_cell_length_a 10.546
_cell_length_b 12.964
_cell_length_c 13.461
_cell_angle_alpha 90.00
_cell_angle_beta 90.00
_cell_angle_gamma 90.00
loop_
_atom_site_label
_atom_site_type_symbol
_atom_site_fract_x
_atom_site_fract_y
_atom_site_fract_z
Cs1 Cs 0.167 0.197 0.134
Re1 Re 0.059 0.014 0.432
Br1 Br 0.030 0.202 0.395
Br2 Br 0.087 0.015 0.712
Br3 Br 0.151 0.658 0.891
Br4 Br 0.227 0.560 0.498

***

Each structure's energy above the most stable one, in meV/atom: model w 124; model x 0.

***

Model w:
# PBE-GGA CsReBr6, optimized geometry
# DOS(E_F) (states/eV/cell): 26.9
# Calculated volume (Å³ per cell): 1134
data_CsReBr6
_space_group_name_H-M_alt 'C 1 2/c 1'
_space_group_IT_number 15
_space_group_name_Hall '-C 2yc'
_cell_length_a 12.711
_cell_length_b 6.860
_cell_length_c 13.328
_cell_angle_alpha 90.00
_cell_angle_beta 102.65
_cell_angle_gamma 90.00
loop_
_atom_site_label
_atom_site_type_symbol
_atom_site_fract_x
_atom_site_fract_y
_atom_site_fract_z
Cs1 Cs 0.000 0.108 0.250
Re1 Re 0.250 0.250 0.000
Br1 Br 0.075 0.380 0.898
Br2 Br 0.156 0.051 0.538
Br3 Br 0.213 0.411 0.158

***

Model x:
# PBE-GGA CsReBr6, optimized geometry
# DOS(E_F) (states/eV/cell): 19.1
# Calculated volume (Å³ per cell): 923
data_CsReBr6
_space_group_name_H-M_alt 'R -3 m'
_space_group_IT_number 166
_space_group_name_Hall '-R 3 2"'
_cell_length_a 7.3257
_cell_length_b 7.3257
_cell_length_c 19.8698
_cell_angle_alpha 90.00
_cell_angle_beta 90.00
_cell_angle_gamma 120.00
loop_
_atom_site_label
_atom_site_type_symbol
_atom_site_fract_x
_atom_site_fract_y
_atom_site_fract_z
Cs1 Cs 0.0000 0.0000 0.0000
Re1 Re 0.0000 0.0000 0.5000
Br1 Br 0.0116 0.5058 0.0944

***

Each structure's energy above the most stable one, in meV/atom: model w 0; model x 16.